An optimized crystal structure of TePRh3, computed with PBE.

Cell and atoms, written as POSCAR:
```
TePRh3
1.0
4.4586 0.0000 0.0000
0.0000 4.4586 0.0000
0.0000 0.0000 4.4586
Te P Rh
1 1 3
Direct
0.0000 0.0000 0.0000
0.5000 0.5000 0.5000
0.0000 0.5000 0.5000
0.5000 0.0000 0.5000
0.5000 0.5000 0.0000
```

## Properties
V (Å³/atom): 17.7
Symmetry: Pm-3m
Total magnetic moment (μB/cell): 0.00
DOS(E_F) (states/eV per cell): 5.763
Formation energy without anion corrections (eV per atom): -0.01

An optimized crystal structure of TeP2Rh2, computed with PBE.

Cell and atoms, written as POSCAR:
```
TeP2Rh2
1.0
-1.9216 1.9216 5.9180
1.9216 -1.9216 5.9180
1.9216 1.9216 -5.9180
Te P Rh
1 2 2
Direct
0.0000 0.0000 0.0000
0.2500 0.7500 0.5000
0.7500 0.2500 0.5000
0.3697 0.3697 0.0000
0.6303 0.6303 0.0000
```

## Properties
V (Å³/atom): 17.5
Symmetry: I4/mmm
Total magnetic moment (μB/cell): 0.00
DOS(E_F) (states/eV per cell): 3.626
Formation energy without anion corrections (eV per atom): -0.18

An optimized crystal structure of TePRh, computed with PBE.

Cell and atoms, written as POSCAR:
```
TePRh
1.0
0.0000 3.0966 3.0966
3.0966 0.0000 3.0966
3.0966 3.0966 0.0000
Te P Rh
1 1 1
Direct
0.0000 0.0000 0.0000
0.5000 0.5000 0.5000
0.2500 0.2500 0.2500
```

## Properties
V (Å³/atom): 19.8
Symmetry: F-43m
Total magnetic moment (μB/cell): 0.00
DOS(E_F) (states/eV per cell): 0.971
Formation energy without anion corrections (eV per atom): -0.15

An optimized crystal structure of TePRh, computed with PBE.

Cell and atoms, written as POSCAR:
```
TePRh
1.0
3.6632 0.0000 0.0000
-1.8316 3.1724 0.0000
0.0000 0.0000 5.1954
Te P Rh
1 1 1
Direct
0.0000 0.0000 0.0000
0.3333 0.6667 0.4734
0.6667 0.3333 0.6633
```

## Properties
V (Å³/atom): 20.1
Symmetry: P3m1
Total magnetic moment (μB/cell): 0.00
DOS(E_F) (states/eV per cell): 1.618
Formation energy without anion corrections (eV per atom): -0.23

An optimized crystal structure of TeP4Rh, computed with PBE.

Cell and atoms, written as POSCAR:
```
TeP4Rh
1.0
0.0000 3.7880 3.7880
3.7880 0.0000 3.7880
3.7880 3.7880 0.0000
Te P Rh
1 4 1
Direct
0.0000 0.0000 0.0000
0.3925 0.3925 0.3925
0.3925 0.3925 0.8226
0.3925 0.8226 0.3925
0.8226 0.3925 0.3925
0.7500 0.7500 0.7500
```

## Properties
V (Å³/atom): 18.1
Symmetry: F-43m
Total magnetic moment (μB/cell): 0.00
DOS(E_F) (states/eV per cell): 5.926
Formation energy without anion corrections (eV per atom): 0.79

An optimized crystal structure of TePRh2, computed with PBE.

Cell and atoms, written as POSCAR:
```
TePRh2
1.0
-1.9171 1.9171 4.3953
1.9171 -1.9171 4.3953
1.9171 1.9171 -4.3953
Te P Rh
1 1 2
Direct
0.0000 0.0000 0.0000
0.2500 0.7500 0.5000
0.5000 0.5000 0.0000
0.7500 0.2500 0.5000
```

## Properties
V (Å³/atom): 16.2
Symmetry: I-4m2
Total magnetic moment (μB/cell): 0.00
DOS(E_F) (states/eV per cell): 1.613
Formation energy without anion corrections (eV per atom): 0.09

An optimized crystal structure of TePRh2, computed with PBE.

Cell and atoms, written as POSCAR:
```
TePRh2
1.0
3.8648 -1.6833 0.0000
3.8648 1.6833 0.0000
-0.6897 0.0000 5.6092
Te P Rh
1 1 2
Direct
0.0000 0.0000 0.0000
0.1912 0.1912 0.5366
0.4901 0.4901 0.5996
0.7319 0.7319 0.2668
```

## Properties
V (Å³/atom): 18.2
Symmetry: Cm
Total magnetic moment (μB/cell): 0.00
DOS(E_F) (states/eV per cell): 1.869
Formation energy without anion corrections (eV per atom): -0.38

An optimized crystal structure of TePRh2, computed with PBE.

Cell and atoms, written as POSCAR:
```
TePRh2
1.0
1.8527 1.0697 5.9623
-1.8527 1.0697 5.9623
0.0000 -2.1394 5.9623
Te P Rh
1 1 2
Direct
0.0000 0.0000 0.0000
0.5000 0.5000 0.5000
0.2199 0.2199 0.2199
0.7801 0.7801 0.7801
```

## Properties
V (Å³/atom): 17.7
Symmetry: R-3m
Total magnetic moment (μB/cell): 0.00
DOS(E_F) (states/eV per cell): 1.750
Formation energy without anion corrections (eV per atom): -0.42

An optimized crystal structure of Te2PRh, computed with PBE.

Cell and atoms, written as POSCAR:
```
Te2PRh
1.0
3.3544 0.0000 0.0000
0.0000 3.3544 0.0000
0.0000 0.0000 7.1262
Te P Rh
2 1 1
Direct
0.0000 0.0000 0.2349
0.0000 0.0000 0.7651
0.5000 0.5000 0.5000
0.5000 0.5000 0.0000
```

## Properties
V (Å³/atom): 20.0
Symmetry: P4/mmm
Total magnetic moment (μB/cell): 0.00
DOS(E_F) (states/eV per cell): 2.468
Formation energy without anion corrections (eV per atom): 0.35

An optimized crystal structure of TeP2Rh, computed with PBE.

Cell and atoms, written as POSCAR:
```
TeP2Rh
1.0
-2.9016 2.9016 5.5194
2.9016 -2.9016 5.5194
2.9016 2.9016 -5.5194
Te P Rh
2 4 2
Direct
0.0000 0.0000 0.0000
0.7500 0.2500 0.5000
0.1957 0.6250 0.0707
0.3750 0.4457 0.5707
0.5543 0.1250 0.9293
0.8750 0.8043 0.4293
0.2500 0.7500 0.5000
0.5000 0.5000 0.0000
```

## Properties
V (Å³/atom): 23.2
Symmetry: I-42d
Total magnetic moment (μB/cell): 0.00
DOS(E_F) (states/eV per cell): 4.903
Formation energy without anion corrections (eV per atom): 0.03

An optimized crystal structure of TeP2Rh, computed with PBE.

Cell and atoms, written as POSCAR:
```
TeP2Rh
1.0
4.5422 0.0000 0.0000
0.0000 3.6275 0.0000
-1.4300 0.0000 4.4919
Te P Rh
1 2 1
Direct
0.0000 0.0000 0.0000
0.2342 0.5000 0.6591
0.7658 0.5000 0.3409
0.5000 0.0000 0.5000
```

## Properties
V (Å³/atom): 18.5
Symmetry: P2/m
Total magnetic moment (μB/cell): 0.00
DOS(E_F) (states/eV per cell): 1.768
Formation energy without anion corrections (eV per atom): -0.13

An optimized crystal structure of Te2PRh, computed with PBE.

Cell and atoms, written as POSCAR:
```
Te2PRh
1.0
-2.7318 2.7318 2.8794
2.7318 -2.7318 2.8794
2.7318 2.7318 -2.8794
Te P Rh
2 1 1
Direct
0.0000 0.5000 0.5000
0.5000 0.0000 0.5000
0.0000 0.0000 0.0000
0.5000 0.5000 0.0000
```

## Properties
V (Å³/atom): 21.5
Symmetry: I4/mmm
Total magnetic moment (μB/cell): 0.00
DOS(E_F) (states/eV per cell): 3.601
Formation energy without anion corrections (eV per atom): 0.14

An optimized crystal structure of Te2PRh, computed with PBE.

Cell and atoms, written as POSCAR:
```
Te2PRh
1.0
0.0000 3.4387 3.4387
3.4387 0.0000 3.4387
3.4387 3.4387 0.0000
Te P Rh
2 1 1
Direct
0.0000 0.0000 0.0000
0.2500 0.2500 0.2500
0.7500 0.7500 0.7500
0.5000 0.5000 0.5000
```

## Properties
V (Å³/atom): 20.3
Symmetry: F-43m
Total magnetic moment (μB/cell): 0.00
DOS(E_F) (states/eV per cell): 2.898
Formation energy without anion corrections (eV per atom): 0.57

An optimized crystal structure of TeP2Rh, computed with PBE.

Cell and atoms, written as POSCAR:
```
TeP2Rh
1.0
3.1745 0.0000 0.0000
0.0000 4.5799 0.0000
0.0000 0.0000 4.7125
Te P Rh
1 2 1
Direct
0.0000 0.0000 0.0000
0.0000 0.5000 0.5000
0.5000 0.0000 0.5000
0.5000 0.5000 0.0000
```

## Properties
V (Å³/atom): 17.1
Symmetry: Pmmm
Total magnetic moment (μB/cell): 0.00
DOS(E_F) (states/eV per cell): 2.816
Formation energy without anion corrections (eV per atom): 0.50

An optimized crystal structure of TeP2Rh, computed with PBE.

Cell and atoms, written as POSCAR:
```
TeP2Rh
1.0
3.8445 0.0000 0.0000
0.0000 3.8445 0.0000
0.0000 0.0000 4.7983
Te P Rh
1 2 1
Direct
0.0000 0.0000 0.0000
0.0000 0.5000 0.5000
0.5000 0.0000 0.5000
0.5000 0.5000 0.0000
```

## Properties
V (Å³/atom): 17.7
Symmetry: P4/mmm
Total magnetic moment (μB/cell): 0.00
DOS(E_F) (states/eV per cell): 1.682
Formation energy without anion corrections (eV per atom): 0.56